Computed, not measured: NaTePN2 after structural relaxation at the PBE level of DFT.

Cell lengths 3.7064, 3.7064, 5.6774 Å; angles 90.00, 90.00, 90.00 degrees
Closest atoms and distances in Å follow each position.
Fractional coordinates of all 5 atoms:
Te: 0.0000 0.0000 0.5000  4 Na 2.62, 2 P 2.84
Na: 0.5000 0.5000 0.5000  4 Te 2.62
N: 0.5000 0.0000 0.0000  2 P 1.85
N: 0.0000 0.5000 0.0000  2 P 1.85
P: 0.0000 0.0000 0.0000  4 N 1.85

As for the space group: P4/mmm. The value obtained for the formation energy without anion corrections is 1.00 eV/atom. As for the total magnetic moment: 0.73 μB/f.u. For the density of states at the Fermi level, the calculation gives 3.05 states/eV per cell. As for the energy relative to the lowest polymorph listed for this composition: 0.0 meV/atom.